Entry from Alexandria via LeMat-Bulk: a relaxed PrSi2OsRu crystal (PBE-GGA).

Lattice parameters (Å, degrees): 5.780 5.780 5.780 137.15 137.15 62.21
Atoms (fractional coordinates):
Pr (0.000, 0.000, 0.000)
Si (0.365, 0.365, 0.000)
Si (0.635, 0.635, 0.000)
Os (0.250, 0.750, 0.500)
Ru (0.750, 0.250, 0.500)

Results
raw formation energy = -783 meV/atom
SG = I-4m2
total magnetic moment = 0.000 μB per atom

=====

Entry from Alexandria via LeMat-Bulk: a relaxed Ce2ErF8 crystal (PBE-GGA).

Lattice parameters (Å, degrees): 7.738 7.738 5.393 108.85 108.85 29.93
Atoms (fractional coordinates):
Ce (0.177, 0.177, 0.199)
Ce (0.823, 0.823, 0.801)
Er (0.500, 0.500, 0.500)
F (0.024, 0.024, 0.302)
F (0.220, 0.220, 0.797)
F (0.354, 0.354, 0.545)
F (0.405, 0.405, 0.085)
F (0.595, 0.595, 0.915)
F (0.646, 0.646, 0.455)
F (0.780, 0.780, 0.203)
F (0.976, 0.976, 0.698)

Results
raw formation energy = -3863 meV/atom
SG = C2/m
total magnetic moment = 0.273 μB per atom
offset from the most stable computed form = 0.0 kJ per mole of atoms

=====

Question: Which of these has the lowest raw formation energy?
Answer: Ce2ErF8

=====

Question: What is the raw formation energy in the first record?
Answer: -783 meV/atom

=====

Question: total magnetic moment of number 1 (PrSi2OsRu)?
Answer: 0.000 μB per atom